Entry 1:
Ta3BiI | PBE | optimized geometry

Properties
Formation energy without anion corrections (eV/f.u.): 12.00
DOS(E_F) (states/eV/atom): 1.112
Polymorph energy (0 for the lowest one) (meV/atom): 449.4
Calculated volume (Å³ per atom): 28.69
Total magnetization (μB per formula unit): 0.00

Lattice parameters (Å, degrees): 5.2348 5.2348 5.2348 90.00 90.00 90.00
Space group Pm-3m (No. 221)
Asymmetric unit:
Ta 0.0000 0.0000 0.5000 (multiplicity 3)
Bi 0.0000 0.0000 0.0000 (multiplicity 1)
I 0.5000 0.5000 0.5000 (multiplicity 1)


Entry 2:
BaSrGe2 | PBE | optimized geometry

Properties
DOS(E_F) (states/eV/atom): 1.421
Calculated formation energy (eV/atom): -0.037
Polymorph energy (0 for the lowest one) (meV/atom): 549.5
Calculated volume (Å³ per atom): 33.64
Total magnetization (μB per formula unit): 0.00

Lattice parameters (Å, degrees): 8.7814 8.7814 6.9799 90.00 90.00 90.00
Space group I-42d (No. 122)
Asymmetric unit:
Ba 0.0000 0.0000 0.0000 (multiplicity 4)
Sr 0.0000 0.0000 0.5000 (multiplicity 4)
Ge 0.2373 0.2500 0.6250 (multiplicity 8)


Entry 3:
Sm15ErTl4 | PBE | optimized geometry

Properties
DOS(E_F) (states/eV/atom): 1.480
Calculated formation energy (eV/atom): -0.148
Calculated volume (Å³ per atom): 30.72
Total magnetization (μB per formula unit): 0.00

Lattice parameters (Å, degrees): 4.9384 4.9384 25.1936 90.00 90.00 90.00
Space group P4/mmm (No. 123)
Asymmetric unit:
Sm 0.0000 0.0000 0.0000 (multiplicity 1)
Sm 0.0000 0.0000 0.2035 (multiplicity 2)
Sm 0.0000 0.0000 0.4016 (multiplicity 2)
Sm 0.0000 0.5000 0.1040 (multiplicity 4)
Sm 0.0000 0.5000 0.3026 (multiplicity 4)
Sm 0.0000 0.5000 0.5000 (multiplicity 2)
Er 0.5000 0.5000 0.0000 (multiplicity 1)
Tl 0.5000 0.5000 0.2058 (multiplicity 2)
Tl 0.5000 0.5000 0.4015 (multiplicity 2)


Entry 4:
Al6Ag5 | PBE | optimized geometry

Properties
DOS(E_F) (states/eV/atom): 0.240
Calculated formation energy (eV/atom): 0.017
Polymorph energy (0 for the lowest one) (meV/atom): 44.3
Calculated volume (Å³ per atom): 17.81
Total magnetization (μB per formula unit): 0.00

Lattice parameters (Å, degrees): 9.0389 8.9305 4.9298 90.00 100.12 90.00
Space group C2/m (No. 12)
Asymmetric unit:
Al 0.2420 0.0000 0.2508 (multiplicity 4)
Al 0.2461 0.1629 0.7447 (multiplicity 8)
Ag 0.0000 0.1634 0.0000 (multiplicity 4)
Ag 0.0000 0.3283 0.5000 (multiplicity 4)
Ag 0.0000 0.5000 0.0000 (multiplicity 2)


Entry 5:
Li4CoBr | PBE | optimized geometry

Properties
Formation energy without anion corrections (eV/f.u.): 1.86
DOS(E_F) (states/eV/atom): 1.369
Calculated volume (Å³ per atom): 18.00
Total magnetization (μB per formula unit): 2.21

Lattice parameters (Å, degrees): 7.5595 7.5595 7.5595 90.00 90.00 90.00
Space group F-43m (No. 216)
Asymmetric unit:
Li 0.1235 0.1235 0.3765 (multiplicity 16)
Co 0.2500 0.2500 0.7500 (multiplicity 4)
Br 0.0000 0.0000 0.0000 (multiplicity 4)


Entry 6:
K2Tl6Hg3 | PBE | optimized geometry

Properties
DOS(E_F) (states/eV/atom): 0.356
Calculated formation energy (eV/atom): -0.102
Calculated volume (Å³ per atom): 34.01
Total magnetization (μB per formula unit): 0.00

Lattice parameters (Å, degrees): 9.3633 9.3633 4.9272 90.00 90.00 120.00
Space group P-62m (No. 189)
Asymmetric unit:
K 0.3333 0.6667 0.0000 (multiplicity 2)
Tl 0.0000 0.2728 0.5000 (multiplicity 3)
Tl 0.0000 0.7970 0.0000 (multiplicity 3)
Hg 0.0000 0.5947 0.5000 (multiplicity 3)